# Li3V4O7F5 (PBE with a Hubbard U, optimized geometry)
data_Li3V4O7F5
_chemical_formula_sum 'Li3 V4 O7 F5'
_space_group_name_H-M_alt 'P 1'
_space_group_IT_number 1
_space_group_name_Hall 'P 1'
_cell_length_a 5.5745
_cell_length_b 5.7206
_cell_length_c 9.2011
_cell_angle_alpha 105.51
_cell_angle_beta 92.88
_cell_angle_gamma 111.62
loop_
_atom_site_label
_atom_site_fract_x
_atom_site_fract_y
_atom_site_fract_z
Li1 0.4962 0.4088 0.2338
Li2 0.9412 0.5864 0.6370
Li3 0.6953 0.4964 0.9176
V1 0.4098 0.0072 0.4668
V2 0.0051 0.0688 0.9977
V3 0.8957 0.0915 0.3183
V4 0.3933 0.9329 0.8422
O1 0.7865 0.1610 0.9087
O2 0.6059 0.1557 0.3154
O3 0.3671 0.2241 0.9848
O4 0.0318 0.7664 0.8646
O5 0.1161 0.2760 0.2158
O6 0.1007 0.8922 0.3715
O7 0.3371 0.8956 0.6479
F1 0.5947 0.7759 0.4028
F2 0.0465 0.3329 0.5167
F3 0.4582 0.6449 0.8634
F4 0.7939 0.8103 0.1101
F5 0.5823 0.3496 0.6040
# E above lowest polymorph: 40 meV/atom
# Space group: P1, No. 1
# Magnetization: 4.00 μB per formula unit